The following is a DFT calculation (SCAN) of a PBEsol-optimized structure of ZrTl2.

Computed properties:
Final energy ... -58.380 eV per atom

a b c (Å): 3.190 4.164 10.516
angles (deg): 90.00 90.00 90.00
Fractional positions:
Zr 0.000 0.000 0.000
Zr 0.500 0.500 0.500
Tl 0.000 0.000 0.337
Tl 0.000 0.000 0.663
Tl 0.500 0.500 0.163
Tl 0.500 0.500 0.837

=====

The following is a DFT calculation (SCAN) of a PBEsol-optimized structure of AlRh3S.

Computed properties:
Formation energy without anion corrections ... 887.1 meV/atom

a b c (Å): 4.407 4.407 4.407
angles (deg): 90.00 90.00 90.00
Fractional positions:
Al 0.000 0.000 0.000
Rh 0.000 0.000 0.500
Rh 0.000 0.500 0.000
Rh 0.500 0.000 0.000
S 0.500 0.500 0.500

=====

The following is a DFT calculation (SCAN) of a PBEsol-optimized structure of LaScCu2.

Computed properties:
ΔE to the lowest computed polymorph ... 73 meV per atom

a b c (Å): 4.800 4.876 6.834
angles (deg): 90.00 90.00 90.00
Fractional positions:
La 0.000 0.000 0.000
La 0.500 0.500 0.500
Sc 0.000 0.000 0.500
Sc 0.500 0.500 0.000
Cu 0.000 0.500 0.243
Cu 0.000 0.500 0.757
Cu 0.500 0.000 0.257
Cu 0.500 0.000 0.743

=====

The following is a DFT calculation (SCAN) of a PBEsol-optimized structure of YHgBr2.

Computed properties:
Formation energy without anion corrections ... -892.8 meV/atom
ΔE to the lowest computed polymorph ... 61 meV per atom

a b c (Å): 6.695 8.093 3.665
angles (deg): 90.00 90.00 90.00
Fractional positions:
Y 0.000 0.000 0.000
Y 0.500 0.500 0.000
Hg 0.000 0.500 0.000
Hg 0.500 0.000 0.000
Br 0.250 0.250 0.500
Br 0.250 0.750 0.500
Br 0.750 0.250 0.500
Br 0.750 0.750 0.500

=====

The following is a DFT calculation (SCAN) of a PBEsol-optimized structure of AlHgPt2.

Computed properties:
Final energy ... -54.777 eV per atom

a b c (Å): 2.881 2.881 7.589
angles (deg): 90.00 90.00 90.00
Fractional positions:
Al 0.000 0.000 0.000
Hg 0.000 0.000 0.500
Pt 0.500 0.500 0.210
Pt 0.500 0.500 0.790

=====

The following is a DFT calculation (SCAN) of a PBEsol-optimized structure of Ca2PRh.

Computed properties:
Final energy ... -16.771 eV per atom

a b c (Å): 4.015 4.015 22.164
angles (deg): 90.00 90.00 120.00
Fractional positions:
Ca 0.000 0.000 0.000
Ca 0.000 0.000 0.170
Ca 0.333 0.667 0.667
Ca 0.333 0.667 0.837
Ca 0.667 0.333 0.333
Ca 0.667 0.333 0.504
P 0.000 0.000 0.752
P 0.333 0.667 0.419
P 0.667 0.333 0.086
Rh 0.000 0.000 0.418
Rh 0.333 0.667 0.085
Rh 0.667 0.333 0.751